# LiLaMo2O8 | Alexandria via LeMat-Bulk | PBE+U | optimized geometry
data_LiLaMo2O8
_chemical_formula_sum 'Li2 La2 Mo4 O16'
_symmetry_space_group_name_H-M 'I -4'
_symmetry_Int_Tables_number 82
_symmetry_space_group_name_Hall 'I -4'
_cell_length_a 5.363
_cell_length_b 5.363
_cell_length_c 11.579
_cell_angle_alpha 90.00
_cell_angle_beta 90.00
_cell_angle_gamma 90.00
loop_
_atom_site_label
_atom_site_type_symbol
_atom_site_fract_x
_atom_site_fract_y
_atom_site_fract_z
Li1 Li 0.000 0.000 0.000
La1 La 0.000 0.500 0.750
Mo1 Mo 0.000 0.000 0.500
Mo2 Mo 0.000 0.500 0.250
O1 O 0.145 0.744 0.166
O2 O 0.147 0.238 0.587
# Calculated volume (Å³ per atom): 13.88
# E (eV/atom): -7.199
# Total moment (Bohr magnetons per cell): 0.000
# DOS(E_F) (states/eV/f.u.): 0.0